Compound: Sr2BeTe
Source: the Alexandria database
Functional: GGA-PBE
Structure: optimized geometry

Cell lengths 5.601, 5.601, 5.601 Å; angles 60.00, 60.00, 60.00 degrees
Fractional coordinates of all 4 atoms:
Te (0.500, 0.500, 0.500)
Be (0.000, 0.000, 0.000)
Sr (0.250, 0.250, 0.250)
Sr (0.750, 0.750, 0.750)

Summary:
**Energy above the most stable polymorph in this dataset**: 0.70 eV/f.u.
**Final energy**: -2.809 eV/atom
**ρ**: 4.17 g cm⁻³
**Formation energy (no corrections)**: -251 meV per atom